(1)
This record from Alexandria via LeMat-Bulk describes a relaxed Ba2LiZnNi crystal. The functional is PBE.

The structure in POSCAR format:
```
Ba2LiZnNi
1.0
5.9487 0.0000 0.0000
0.0000 5.9487 0.0000
0.0000 0.0000 4.7900
Ni Zn Ba Li
1 1 2 1
Direct
0.0000 0.0000 0.0000
0.5000 0.5000 0.5000
0.0000 0.5000 0.0000
0.5000 0.0000 0.0000
0.0000 0.0000 0.5000
```

Values from the calculation:
DFT total energy ... -2.471 eV/atom
ΔH_f (0 K) ... 8.9 kJ per mole of atoms
Magnetization ... 0.000 μB per cell



(2)
This record from Alexandria via LeMat-Bulk describes a relaxed Mg16Al12Tc crystal. The functional is PBE.

The structure in POSCAR format:
```
Mg16Al12Tc
1.0
5.1728 0.9204 7.2447
-6.9337 5.6147 0.7004
-3.1188 -8.3848 -0.2450
Mg Al Tc
16 12 1
Direct
0.6802 0.2780 0.6802
0.9958 0.3527 0.9958
0.4249 0.6915 0.4249
0.0112 0.0112 0.0112
0.4249 0.4249 0.6915
0.3191 0.9929 0.5942
0.9929 0.5942 0.3191
0.9958 0.9958 0.3527
0.5942 0.3191 0.9929
0.2780 0.6802 0.6802
0.6802 0.6802 0.2780
0.9929 0.3191 0.5942
0.3527 0.9958 0.9958
0.3191 0.5942 0.9929
0.5942 0.9929 0.3191
0.6915 0.4249 0.4249
0.1902 0.8004 0.1902
0.3475 0.1568 0.3475
0.6353 0.9961 0.8153
0.8153 0.6353 0.9961
0.1568 0.3475 0.3475
0.6353 0.8153 0.9961
0.8004 0.1902 0.1902
0.1902 0.1902 0.8004
0.9961 0.8153 0.6353
0.3475 0.3475 0.1568
0.9961 0.6353 0.8153
0.8153 0.9961 0.6353
0.7264 0.7264 0.7264
```

Values from the calculation:
DFT total energy ... -2.799 eV/atom
ΔH_f (0 K) ... -1.3 kJ per mole of atoms
Magnetization ... 0.000 μB per cell



(3)
This record from Alexandria via LeMat-Bulk describes a relaxed TbSm2NbN4 crystal. The functional is PBE.

The structure in POSCAR format:
```
TbSm2NbN4
1.0
-0.8177 -2.3558 2.3288
5.7332 -0.7003 1.3045
-2.2794 4.2467 3.4957
Tb Sm Nb N
1 2 1 4
Direct
0.5000 0.5000 0.0000
0.5000 0.0000 0.5000
0.0000 0.5000 0.5000
0.0000 0.0000 0.0000
0.5000 0.2279 0.2233
0.5000 0.7721 0.7767
0.0000 0.2373 0.7722
0.0000 0.7627 0.2278
```

Values from the calculation:
DFT total energy ... -8.562 eV/atom
Magnetization ... 0.000 μB per cell
Formation energy without anion corrections ... -1.382 eV/atom



(4)
This record from Alexandria via LeMat-Bulk describes a relaxed K3Nd2SnO6 crystal. The functional is PBE.

The structure in POSCAR format:
```
K3Nd2SnO6
1.0
-1.1583 5.9147 1.5329
-4.1799 -4.4214 1.2864
4.4769 -1.4206 4.6889
K Nd Sn O
3 2 1 6
Direct
0.1611 0.8389 0.5000
0.8389 0.1611 0.5000
0.5000 0.5000 0.5000
0.3330 0.6670 0.0000
0.6670 0.3330 0.0000
0.0000 0.0000 0.0000
0.9362 0.6104 0.8079
0.7374 0.7374 0.1912
0.0638 0.3896 0.1921
0.6104 0.9362 0.8079
0.2626 0.2626 0.8088
0.3896 0.0638 0.1921
```

Values from the calculation:
DFT total energy ... -6.036 eV/atom
Magnetization ... 0.055 μB per cell
Formation energy without anion corrections ... -2.155 eV/atom



Number 1: volume 33.9 Å³/atom. Number 2: volume 19.6 Å³/atom. Number 3: volume 14.2 Å³/atom. Number 4: volume 17.6 Å³/atom.